No. 1
NpGeIr after structural relaxation, computed with PBE-GGA.

Values from the calculation:
- crystal system = cubic
- VASP energy (eV per atom) = -8.9795
- volume (Å³/atom) = 20.9
- symmetry = No. 216
- magnetization (μB/cell) = 3.5

a = 4.458 Å, b = 4.458 Å, c = 4.458 Å
α = 60.00°, β = 60.00°, γ = 60.00°
Element x y z (fractional)
Np: 0.000 0.000 0.000
Ge: 0.500 0.500 0.500
Ir: 0.250 0.250 0.250

No. 2
NpGeIr after structural relaxation, computed with PBE-GGA.

Values from the calculation:
- crystal system = orthorhombic
- VASP energy (eV per atom) = -9.2333
- volume (Å³/atom) = 18.9
- symmetry = No. 44
- magnetization (μB/cell) = 6.6

a = 5.575 Å, b = 5.575 Å, c = 5.575 Å
α = 134.48°, β = 103.24°, γ = 94.03°
Element x y z (fractional)
Np: 0.000 0.000 0.000
Np: 0.595 0.095 0.500
Ge: 0.190 0.386 0.804
Ge: 0.582 0.386 0.196
Ir: 0.429 0.713 0.715
Ir: 0.998 0.713 0.285

No. 3
GePIrO after structural relaxation, computed with PBE-GGA.

Values from the calculation:
- crystal system = orthorhombic
- VASP energy (eV per atom) = -6.2787
- volume (Å³/atom) = 16.6
- symmetry = No. 26
- offset from the most stable computed form (meV per atom) = 355
- magnetization (μB/cell) = 0.0

a = 3.764 Å, b = 7.758 Å, c = 4.535 Å
α = 90.00°, β = 90.00°, γ = 90.00°
Element x y z (fractional)
Ge: 0.000 0.143 0.000
Ge: 0.000 0.857 0.500
P: 0.500 0.319 0.901
P: 0.500 0.681 0.401
Ir: 0.500 0.393 0.408
Ir: 0.500 0.607 0.908
O: 0.000 0.082 0.389
O: 0.000 0.918 0.889

No. 4
GePIrO after structural relaxation, computed with PBE-GGA.

Values from the calculation:
- crystal system = tetragonal
- VASP energy (eV per atom) = -6.6333
- volume (Å³/atom) = 17.1
- symmetry = No. 129
- offset from the most stable computed form (meV per atom) = 0
- magnetization (μB/cell) = 0.0

a = 3.831 Å, b = 3.831 Å, c = 9.303 Å
α = 90.00°, β = 90.00°, γ = 90.00°
Element x y z (fractional)
Ge: 0.250 0.250 0.104
Ge: 0.750 0.750 0.896
P: 0.250 0.250 0.645
P: 0.750 0.750 0.355
Ir: 0.250 0.750 0.500
Ir: 0.750 0.250 0.500
O: 0.250 0.750 0.000
O: 0.750 0.250 0.000

No. 5
GePIrO after structural relaxation, computed with PBE-GGA.

Values from the calculation:
- crystal system = orthorhombic
- VASP energy (eV per atom) = -6.1804
- volume (Å³/atom) = 16.0
- symmetry = No. 26
- offset from the most stable computed form (meV per atom) = 453
- magnetization (μB/cell) = 0.0

a = 3.022 Å, b = 6.824 Å, c = 6.214 Å
α = 90.00°, β = 90.00°, γ = 90.00°
Element x y z (fractional)
Ge: 0.000 0.180 0.000
Ge: 0.000 0.820 0.500
P: 0.000 0.155 0.399
P: 0.000 0.845 0.899
Ir: 0.500 0.269 0.627
Ir: 0.500 0.731 0.127
O: 0.500 0.352 0.977
O: 0.500 0.648 0.477

No. 6
GePIrO after structural relaxation, computed with PBE-GGA.

Values from the calculation:
- crystal system = tetragonal
- VASP energy (eV per atom) = -5.6311
- volume (Å³/atom) = 13.8
- symmetry = No. 129
- offset from the most stable computed form (meV per atom) = 1002
- magnetization (μB/cell) = 0.0

a = 4.441 Å, b = 4.441 Å, c = 5.581 Å
α = 90.00°, β = 90.00°, γ = 90.00°
Element x y z (fractional)
Ge: 0.250 0.750 0.000
Ge: 0.750 0.250 0.000
P: 0.250 0.250 0.169
P: 0.750 0.750 0.831
Ir: 0.250 0.250 0.578
Ir: 0.750 0.750 0.422
O: 0.250 0.750 0.500
O: 0.750 0.250 0.500

No. 7
GeIrPb2O6 after structural relaxation, computed with PBE-GGA.

Values from the calculation:
- crystal system = monoclinic
- VASP energy (eV per atom) = -6.0478
- volume (Å³/atom) = 12.2
- symmetry = No. 12
- offset from the most stable computed form (meV per atom) = 0
- magnetization (μB/cell) = 0.0

a = 5.549 Å, b = 5.549 Å, c = 5.645 Å
α = 120.39°, β = 120.39°, γ = 59.85°
Element x y z (fractional)
Ge: 0.000 0.000 0.000
Ir: 0.500 0.500 0.500
Pb: 0.251 0.251 0.758
Pb: 0.749 0.749 0.242
O: 0.204 0.713 0.203
O: 0.240 0.240 0.307
O: 0.287 0.796 0.797
O: 0.713 0.204 0.203
O: 0.760 0.760 0.693
O: 0.796 0.287 0.797

No. 8
GeIrPb2O6 after structural relaxation, computed with PBE-GGA.

Values from the calculation:
- crystal system = trigonal
- VASP energy (eV per atom) = -6.0416
- volume (Å³/atom) = 12.1
- symmetry = No. 148
- offset from the most stable computed form (meV per atom) = 6
- magnetization (μB/cell) = 0.2

a = 5.498 Å, b = 5.498 Å, c = 5.498 Å
α = 61.45°, β = 61.45°, γ = 61.45°
Element x y z (fractional)
Ge: 0.000 0.000 0.000
Ir: 0.500 0.500 0.500
Pb: 0.248 0.248 0.248
Pb: 0.752 0.752 0.752
O: 0.183 0.303 0.765
O: 0.235 0.817 0.697
O: 0.303 0.765 0.183
O: 0.697 0.235 0.817
O: 0.765 0.183 0.303
O: 0.817 0.697 0.235

No. 9
GeIrOs after structural relaxation, computed with PBE-GGA.

Values from the calculation:
- crystal system = cubic
- VASP energy (eV per atom) = -7.8539
- volume (Å³/atom) = 16.2
- symmetry = No. 216
- magnetization (μB/cell) = 0.0

a = 4.095 Å, b = 4.095 Å, c = 4.095 Å
α = 60.00°, β = 60.00°, γ = 60.00°
Element x y z (fractional)
Ge: 0.000 0.000 0.000
Ir: 0.750 0.750 0.750
Os: 0.250 0.250 0.250

No. 10
GeIr2Os after structural relaxation, computed with PBE-GGA.

Values from the calculation:
- crystal system = cubic
- VASP energy (eV per atom) = -7.9723
- volume (Å³/atom) = 14.9
- symmetry = No. 216
- magnetization (μB/cell) = 0.4

a = 4.381 Å, b = 4.381 Å, c = 4.381 Å
α = 60.00°, β = 60.00°, γ = 60.00°
Element x y z (fractional)
Ge: 0.000 0.000 0.000
Ir: 0.500 0.500 0.500
Ir: 0.750 0.750 0.750
Os: 0.250 0.250 0.250

No. 11
Sc3Ge3Ir2Os after structural relaxation, computed with PBE-GGA.

Values from the calculation:
- crystal system = orthorhombic
- VASP energy (eV per atom) = -7.7057
- volume (Å³/atom) = 16.6
- symmetry = No. 38
- magnetization (μB/cell) = 0.0

a = 3.786 Å, b = 6.745 Å, c = 6.745 Å
α = 119.74°, β = 90.00°, γ = 90.00°
Element x y z (fractional)
Sc: 0.000 0.000 0.000
Sc: 0.000 0.419 0.831
Sc: 0.000 0.831 0.419
Ge: 0.000 0.415 0.415
Ge: 0.500 0.083 0.750
Ge: 0.500 0.750 0.083
Ir: 0.500 0.168 0.417
Ir: 0.500 0.417 0.168
Os: 0.500 0.662 0.662

No. 12
PrGePIr2 after structural relaxation, computed with PBE-GGA.

Values from the calculation:
- crystal system = tetragonal
- VASP energy (eV per atom) = -7.4210
- volume (Å³/atom) = 17.9
- symmetry = No. 129
- magnetization (μB/cell) = 0.0

a = 4.282 Å, b = 4.282 Å, c = 9.773 Å
α = 90.00°, β = 90.00°, γ = 90.00°
Element x y z (fractional)
Pr: 0.250 0.250 0.235
Pr: 0.750 0.750 0.765
Ge: 0.250 0.250 0.636
Ge: 0.750 0.750 0.364
P: 0.250 0.750 0.000
P: 0.750 0.250 0.000
Ir: 0.250 0.250 0.896
Ir: 0.250 0.750 0.500
Ir: 0.750 0.250 0.500
Ir: 0.750 0.750 0.104